[1]
Compound: Ho14ZrSc
Source: Alexandria
Functional: PBE-GGA
Structure: optimized geometry

Output
total magnetization: 0.000 Bohr magnetons per cell
electronic total energy: -4.896 eV per atom
density of states at the Fermi level: 19.405 states/eV/cell

Cell lengths 6.9732, 6.9732, 9.8263 Å; angles 90.00, 90.00, 90.00 degrees
Positions (direct):
1 Ho 0.3751 0.1251 0.0000
2 Ho 0.8749 0.6249 0.0000
3 Ho 0.6280 0.3720 0.7570
4 Ho 0.1220 0.3720 0.2429
5 Ho 0.3750 0.1251 0.5000
6 Ho 0.6280 0.8780 0.2429
7 Ho 0.1220 0.8780 0.7571
8 Ho 0.6280 0.8780 0.7571
9 Ho 0.1220 0.8780 0.2429
10 Ho 0.3749 0.6251 0.5000
11 Ho 0.6280 0.3720 0.2430
12 Ho 0.1220 0.3720 0.7571
13 Ho 0.8749 0.6250 0.5000
14 Ho 0.8751 0.1249 0.5000
15 Sc 0.3750 0.6250 0.0000
16 Zr 0.8750 0.1250 0.0000

=====

[2]
Compound: Sr2MgZn
Source: Alexandria
Functional: PBE-GGA
Structure: optimized geometry

Output
total magnetization: 0.000 Bohr magnetons per cell
ΔE to the lowest computed polymorph: 67 meV/atom
electronic total energy: -1.609 eV per atom
density of states at the Fermi level: 2.157 states/eV/cell

Cell lengths 3.9102, 3.9102, 8.9312 Å; angles 90.00, 90.00, 90.00 degrees
Positions (direct):
1 Zn 0.0000 0.0000 0.5488
2 Mg 0.5000 0.5000 0.6903
3 Sr 0.0000 0.0000 0.9426
4 Sr 0.5000 0.5000 0.3183

=====

[3]
Compound: Ba2Sr5Ca2
Source: Alexandria
Functional: PBE-GGA
Structure: optimized geometry

Output
total magnetization: 0.000 Bohr magnetons per cell
ΔE to the lowest computed polymorph: 48 meV/atom
electronic total energy: -1.704 eV per atom
density of states at the Fermi level: 19.835 states/eV/cell

Cell lengths 14.7982, 7.5079, 12.2643 Å; angles 107.82, 127.11, 90.00 degrees
Positions (direct):
1 Sr 0.1972 0.1782 0.8934
2 Sr 0.3356 0.1284 0.2922
3 Sr 0.1962 0.6782 0.8934
4 Sr 0.6644 0.8362 0.7078
5 Sr 0.4566 0.6284 0.2922
6 Sr 0.0617 0.7303 0.5000
7 Sr 0.8038 0.7848 0.1066
8 Sr 0.8028 0.2848 0.1066
9 Sr 0.5434 0.3362 0.7078
10 Sr 0.9383 0.2303 0.5000
11 Ba 0.1528 0.5999 0.2352
12 Ba 0.5824 0.0999 0.2352
13 Ba 0.4176 0.8647 0.7648
14 Ba 0.8472 0.3647 0.7648
15 Ca 0.0000 0.9826 0.0000
16 Ca 0.1963 0.2308 0.5000
17 Ca 0.5000 0.4826 0.0000
18 Ca 0.8037 0.7308 0.5000

=====

[4]
Compound: La3Dy2Cd2
Source: Alexandria
Functional: PBE-GGA
Structure: optimized geometry

Output
total magnetization: 0.003 Bohr magnetons per cell
electronic total energy: -3.764 eV per atom
density of states at the Fermi level: 8.331 states/eV/cell

Cell lengths 5.1981, 3.5492, 12.0054 Å; angles 90.00, 77.50, 90.00 degrees
Positions (direct):
1 Dy 0.2896 0.5000 0.4208
2 Dy 0.7104 0.5000 0.5792
3 La 0.1446 0.0000 0.7108
4 La 0.0000 0.0000 0.0000
5 La 0.8554 0.0000 0.2892
6 Cd 0.5697 0.5000 0.8606
7 Cd 0.4303 0.5000 0.1394

=====

[5]
Compound: Li2NdZn4
Source: Alexandria
Functional: PBE-GGA
Structure: optimized geometry

Output
total magnetization: 0.000 Bohr magnetons per cell
ΔE to the lowest computed polymorph: 117 meV/atom
electronic total energy: -2.116 eV per atom
density of states at the Fermi level: 3.819 states/eV/cell

Cell lengths 4.5362, 3.2286, 9.5594 Å; angles 99.72, 103.73, 90.00 degrees
Positions (direct):
1 Zn 0.6517 0.6517 0.3035
2 Zn 0.0787 0.5787 0.1573
3 Zn 0.9213 0.4213 0.8427
4 Zn 0.3483 0.3483 0.6965
5 Li 0.8001 0.8001 0.6003
6 Li 0.1999 0.1999 0.3997
7 Nd 0.5000 0.0000 0.0000

=====

[6]
Compound: Na2WCl
Source: Alexandria
Functional: PBE-GGA
Structure: optimized geometry

Output
total magnetization: 4.220 Bohr magnetons per cell
ΔE to the lowest computed polymorph: 0 meV/atom
electronic total energy: -3.447 eV per atom
energy relative to the elements, uncorrected: 0.913 eV/atom
density of states at the Fermi level: 6.520 states/eV/cell

Cell lengths 9.8247, 9.8247, 7.3111 Å; angles 47.79, 47.79, 90.00 degrees
Positions (direct):
1 Na 0.3750 0.4936 0.7500
2 Na 0.8750 0.7564 0.7500
3 Na 0.5064 0.1250 0.2500
4 Na 0.2436 0.6250 0.2500
5 Cl 0.2500 0.7500 0.5000
6 Cl 0.5000 0.5000 0.0000
7 W 0.0000 0.0000 0.0000
8 W 0.7500 0.2500 0.5000